First-principles (PBE-GGA) data for MnAgBr2 after structural relaxation, as listed in Alexandria.

The structure in extended XYZ format:
```
4
Lattice="3.940 0.000 0.000 0.000 3.635 0.000 -1.949 0.000 7.526" Properties=species:S:1:pos:R:3 pbc="T T T"
Mn 0.000 0.000 0.000
Ag 0.021 1.817 6.400
Br -0.002 1.817 1.763
Br 1.989 0.000 5.062
```

Its polymorph energy (0 for the lowest one) is 0.000 eV/atom. The final energy is -4.079 eV/atom. Its density of states at the Fermi level is 0.39 states/eV per cell. Its space group is Pm (6).